# 1
This record from Alexandria via LeMat-Bulk describes a relaxed structure of Sm12Y7Tl. The functional is PBE.

The structure belongs to space group R-3 (No. 148, hexagonal axes); the cell edges are 12.3052, 12.3052 and 15.2277 Å and the angles 90.00°, 90.00° and 120.00°. The inequivalent atoms are Sm at (0.0275, 0.5792, 0.2075), Sm at (0.0588, 0.4699, 0.5863), Y at (0.0000, 0.0000, 0.0000), Y at (0.0473, 0.8626, 0.3046) and Tl at (0.0000, 0.0000, 0.5000).

The calculation puts the raw total energy at -5.06 eV/atom. As for the total magnetization: 2.00 μB per formula unit. Its density of states at the Fermi level is 102.56 states/eV/cell.



# 2
This record from Alexandria via LeMat-Bulk describes a relaxed structure of DyHoLuZn. The functional is PBE.

The structure belongs to space group F-43m (No. 216); the cell edges are 7.4651, 7.4651 and 7.4651 Å and the angles 90.00°, 90.00° and 90.00°. The inequivalent atoms are Dy at (0.0000, 0.0000, 0.0000), Ho at (0.0000, 0.0000, 0.5000), Lu at (0.2500, 0.2500, 0.2500) and Zn at (0.2500, 0.2500, 0.7500).

The calculation puts the raw total energy at -3.72 eV/atom. As for the total magnetization: 0.00 μB per formula unit. Its density of states at the Fermi level is 15.57 states/eV/cell.



# 3
This record from Alexandria via LeMat-Bulk describes a relaxed structure of Ce2TcSn. The functional is PBE.

The structure belongs to space group P-3m1 (No. 164); the cell edges are 5.0188, 5.0188 and 8.4421 Å and the angles 90.00°, 90.00° and 120.00°. The inequivalent atoms are Ce at (0.3333, 0.6667, 0.0627), Ce at (0.3333, 0.6667, 0.4371), Tc at (0.3333, 0.6667, 0.7503) and Sn at (0.0000, 0.0000, 0.2499).

For the energy above the most stable polymorph in this dataset, the calculation gives 0.037 eV/atom. As for the total magnetization: 1.31 μB per formula unit. Its density of states at the Fermi level is 13.68 states/eV/cell.



# 4
This record from Alexandria via LeMat-Bulk describes a relaxed structure of MgGa12Ni6. The functional is PBE.

The structure belongs to space group R-3m (No. 166, hexagonal axes); the cell edges are 11.0807, 11.0807 and 8.2682 Å and the angles 90.00°, 90.00° and 120.00°. The inequivalent atoms are Mg at (0.0000, 0.0000, 0.0000), Ga at (0.0000, 0.3827, 0.5000), Ga at (0.0852, 0.1703, 0.3082) and Ni at (0.0593, 0.5296, 0.2443).

The calculation puts the raw total energy at -4.07 eV/atom. As for the total magnetization: 0.00 μB per formula unit. Its density of states at the Fermi level is 18.52 states/eV/cell.



# 5
This record from Alexandria via LeMat-Bulk describes a relaxed structure of TmZrTlIn. The functional is PBE.

The structure belongs to space group F-43m (No. 216); the cell edges are 7.3022, 7.3022 and 7.3022 Å and the angles 90.00°, 90.00° and 90.00°. The inequivalent atoms are Tm at (0.0000, 0.0000, 0.0000), Zr at (0.0000, 0.0000, 0.5000), Tl at (0.2500, 0.2500, 0.7500) and In at (0.2500, 0.2500, 0.2500).

The calculation puts the raw total energy at -4.69 eV/atom. As for the total magnetization: 0.01 μB per formula unit. Its density of states at the Fermi level is 15.45 states/eV/cell.



# 6
This record from Alexandria via LeMat-Bulk describes a relaxed structure of CuMoP2S. The functional is PBE.

The structure belongs to space group P4/mmm (No. 123); the cell edges are 4.3936, 4.3936 and 4.5561 Å and the angles 90.00°, 90.00° and 90.00°. The inequivalent atoms are Cu at (0.0000, 0.0000, 0.0000), Mo at (0.5000, 0.5000, 0.5000), P at (0.0000, 0.5000, 0.0000) and S at (0.0000, 0.0000, 0.5000).

For the uncorrected formation energy, the calculation gives 5.1 eV/f.u. For the energy above the most stable polymorph in this dataset, the calculation gives 0.368 eV/atom. As for the total magnetization: 2.43 μB per formula unit. Its density of states at the Fermi level is 2.92 states/eV/cell.



# 7
This record from Alexandria via LeMat-Bulk describes a relaxed structure of SrTlRe2. The functional is PBE.

The structure belongs to space group R3m (No. 160, hexagonal axes); the cell edges are 3.1686, 3.1686 and 29.4634 Å and the angles 90.00°, 90.00° and 120.00°. The inequivalent atoms are Sr at (0.0000, 0.0000, 0.0000), Tl at (0.0000, 0.0000, 0.7669), Re at (0.0000, 0.0000, 0.2447) and Re at (0.0000, 0.0000, 0.5175).

For the energy above the most stable polymorph in this dataset, the calculation gives 0.415 eV/atom. As for the total magnetization: 0.00 μB per formula unit. Its density of states at the Fermi level is 7.31 states/eV/cell.



# 8
This record from Alexandria via LeMat-Bulk describes a relaxed structure of Ce2VRh. The functional is PBE.

The structure belongs to space group R-3m (No. 166, hexagonal axes); the cell edges are 2.9382, 2.9382 and 30.4547 Å and the angles 90.00°, 90.00° and 120.00°. The inequivalent atoms are Ce at (0.0000, 0.0000, 0.0857), V at (0.0000, 0.0000, 0.0000) and Rh at (0.0000, 0.0000, 0.5000).

The calculation puts the raw total energy at -6.89 eV/atom. As for the total magnetization: 1.01 μB per formula unit. Its density of states at the Fermi level is 20.35 states/eV/cell.